BaCr3: relaxed, PBE.

Computed properties:
Its density of states at the Fermi level is 5.00 states/eV/cell. The formation energy from the elements comes out at 10.6 eV per formula unit. Its energy above the most stable polymorph in this dataset is 1910 meV/atom. The crystal system is cubic.

Lattice parameters (Å, degrees): 6.7521 6.7521 6.7521 90.00 90.00 90.00
Last column: nearest neighbours and their distance in Å.
Space group Pm-3m (No. 221)
Unique sites:
Ba: 0.0000 0.0000 0.0000  6 Cr 3.38
Cr: 0.0000 0.0000 0.5000  2 Ba 3.38

***

Eu2Sc2O5: relaxed, PBE.

Computed properties:
Its density of states at the Fermi level is 25.41 states/eV/cell. The crystal system is orthorhombic. For the uncorrected formation energy, the calculation gives -3172 meV/atom.

Lattice parameters (Å, degrees): 15.5764 5.9854 5.7696 90.00 90.00 90.00
Last column: nearest neighbours and their distance in Å.
Space group Ima2 (No. 46)
Unique sites:
Eu: 0.1077 0.0263 0.0000  7 O 2.45-2.75
Sc: 0.0000 0.0000 0.4897  6 O 2.08-2.21
Sc: 0.2500 0.5665 0.0307  4 O 1.97-2.05
O: 0.0148 0.7441 0.2430  2 Sc 2.08-2.10
O: 0.1385 0.0737 0.4571  2 Sc 1.97-2.21
O: 0.2500 0.6254 0.3804  2 Sc 2.04-2.05

***

KScTe2: relaxed, PBE.

Computed properties:
The crystal system is orthorhombic. For the uncorrected formation energy, the calculation gives -1082 meV/atom.

Lattice parameters (Å, degrees): 4.6389 4.4188 15.6799 90.00 90.00 90.00
Last column: nearest neighbours and their distance in Å.
Space group Amm2 (No. 38)
Unique sites:
K: 0.0000 0.0000 0.0000  6 Te 3.52-3.67
Sc: 0.5000 0.0000 0.7734  4 Te 2.79-2.82
Te: 0.0000 0.0000 0.6750  2 Sc 2.79
Te: 0.5000 0.0000 0.3856  2 Sc 2.82